Density functional theory data (meta-GGA SCAN) for a crystal of Rb2AgSbF6 relaxed with PBEsol.

```
Rb2AgSbF6
1.0
-6.146 0.881 -1.658
-3.495 -4.954 -2.134
-4.695 -2.431 3.654
Rb Ag Sb F
2 1 1 6
direct
0.750 0.750 0.750
0.250 0.250 0.250
0.000 0.000 0.000
0.500 0.500 0.500
0.261 0.261 0.739
0.739 0.261 0.261
0.739 0.739 0.261
0.261 0.739 0.261
0.739 0.261 0.739
0.261 0.739 0.739
```

Space group: Fm-3m, No. 225

Density functional theory data (meta-GGA SCAN) for a crystal of Rb2TlAgF6 relaxed with PBEsol.

```
Rb2TlAgF6
1.0
6.361 0.000 0.000
3.180 5.508 0.000
3.180 1.836 5.193
Rb Tl Ag F
2 1 1 6
direct
0.750 0.750 0.750
0.250 0.250 0.250
0.000 0.000 0.000
0.500 0.500 0.500
0.757 0.243 0.243
0.757 0.757 0.243
0.243 0.757 0.757
0.757 0.243 0.757
0.243 0.757 0.243
0.243 0.243 0.757
```

Space group: Fm-3m, No. 225

Density functional theory data (meta-GGA SCAN) for a crystal of Rb2YAgF6 relaxed with PBEsol.

```
Rb2YAgF6
1.0
-2.698 -5.229 2.524
1.584 -5.800 -2.201
3.479 -3.962 3.632
Rb Y Ag F
2 1 1 6
direct
0.750 0.750 0.750
0.250 0.250 0.250
0.500 0.500 0.500
0.000 0.000 0.000
0.737 0.263 0.263
0.737 0.737 0.263
0.263 0.737 0.737
0.737 0.263 0.737
0.263 0.737 0.263
0.263 0.263 0.737
```

Space group: Fm-3m, No. 225

Density functional theory data (meta-GGA SCAN) for a crystal of AgRu2F relaxed with PBEsol.

```
AgRu2F
1.0
-4.079 -1.106 -0.666
-1.129 -4.126 0.025
-2.348 -1.556 3.220
Ru Ag F
2 1 1
direct
0.250 0.250 0.250
0.750 0.750 0.750
0.500 0.500 0.500
0.000 0.000 0.000
```

Space group: Fm-3m, No. 225

Density functional theory data (meta-GGA SCAN) for a crystal of AgRuF7 relaxed with PBEsol.

```
AgRuF7
1.0
5.511 0.000 0.000
0.000 8.280 0.095
0.000 -3.682 11.402
Ag Ru F
4 4 28
direct
0.289 0.432 0.287
0.789 0.068 0.213
0.711 0.568 0.713
0.211 0.932 0.787
0.210 0.274 0.563
0.710 0.226 0.937
0.790 0.726 0.437
0.290 0.774 0.063
0.583 0.281 0.260
0.083 0.219 0.240
0.417 0.719 0.740
0.917 0.781 0.760
0.382 0.133 0.442
0.882 0.367 0.058
0.618 0.867 0.558
0.118 0.633 0.942
0.460 0.924 0.193
0.960 0.576 0.307
0.540 0.076 0.807
0.040 0.424 0.693
0.995 0.840 0.150
0.495 0.660 0.350
0.005 0.160 0.850
0.505 0.340 0.650
0.248 0.953 0.999
0.748 0.547 0.501
0.752 0.047 0.001
0.252 0.453 0.499
0.326 0.604 0.133
0.826 0.896 0.367
0.674 0.396 0.867
0.174 0.104 0.633
0.579 0.718 0.984
0.079 0.782 0.516
0.421 0.282 0.016
0.921 0.218 0.484
```

Space group: P2_1/c, No. 14

Density functional theory data (meta-GGA SCAN) for a crystal of ZrAg2RuF relaxed with PBEsol.

```
ZrAg2RuF
1.0
-1.898 -3.210 -0.039
4.330 -2.565 0.366
-0.342 0.141 5.033
Ru Zr Ag F
1 1 2 1
direct
0.000 0.000 0.000
0.500 0.500 0.500
0.000 0.000 0.500
0.000 0.500 0.000
0.500 0.000 0.000
```

Space group: P4/mmm, No. 123

Density functional theory data (meta-GGA SCAN) for a crystal of AgS2F relaxed with PBEsol.

```
AgS2F
1.0
4.281 0.000 0.000
2.141 3.708 0.000
2.141 1.236 3.495
S Ag F
2 1 1
direct
0.250 0.250 0.250
0.750 0.750 0.750
0.500 0.500 0.500
0.000 0.000 0.000
```

Space group: Fm-3m, No. 225

Density functional theory data (meta-GGA SCAN) for a crystal of AgSbF6 relaxed with PBEsol.

```
AgSbF6
1.0
8.395 0.000 0.000
-2.798 7.915 0.000
-2.798 -3.958 6.855
Ag Sb F
4 4 24
direct
0.500 0.000 0.000
0.000 0.000 0.500
0.000 0.500 0.000
0.500 0.500 0.500
0.000 0.000 0.000
0.500 0.500 0.000
0.000 0.500 0.500
0.500 0.000 0.500
0.582 0.554 0.263
0.709 0.946 0.528
0.918 0.181 0.972
0.554 0.763 0.082
0.472 0.918 0.681
0.028 0.709 0.446
0.181 0.472 0.418
0.737 0.791 0.819
0.209 0.681 0.763
0.054 0.972 0.791
0.237 0.418 0.946
0.681 0.263 0.709
0.263 0.209 0.181
0.819 0.528 0.582
0.972 0.291 0.554
0.528 0.082 0.319
0.446 0.237 0.918
0.082 0.819 0.028
0.291 0.054 0.472
0.418 0.446 0.737
0.791 0.319 0.237
0.946 0.028 0.209
0.763 0.582 0.054
0.319 0.737 0.291
```

Space group: Ia-3, No. 206

Density functional theory data (meta-GGA SCAN) for a crystal of AgSb2F12 relaxed with PBEsol.

```
AgSb2F12
1.0
5.246 -0.032 0.000
2.235 4.979 -0.026
0.211 2.215 8.424
Ag Sb F
1 2 12
direct
0.500 0.500 0.500
0.733 0.014 0.233
0.267 0.986 0.767
0.216 0.769 0.626
0.784 0.231 0.374
0.651 0.768 0.770
0.685 0.766 0.132
0.315 0.234 0.868
0.123 0.795 0.286
0.877 0.205 0.714
0.697 0.773 0.437
0.303 0.227 0.563
0.796 0.244 0.055
0.204 0.756 0.945
0.349 0.232 0.230
```

Space group: P-1, No. 2

Density functional theory data (meta-GGA SCAN) for a crystal of AgSbF6 relaxed with PBEsol.

```
AgSbF6
1.0
-5.533 -2.454 -0.193
-1.798 -3.764 4.391
-4.234 1.763 3.954
Sb Ag F
1 1 6
direct
0.000 0.000 0.000
0.500 0.500 0.500
0.224 0.224 0.776
0.224 0.776 0.776
0.776 0.224 0.776
0.224 0.776 0.224
0.776 0.224 0.224
0.776 0.776 0.224
```

Space group: Fm-3m, No. 225

Density functional theory data (meta-GGA SCAN) for a crystal of Ag3Sb4F24 relaxed with PBEsol.

```
Ag3Sb4F24
1.0
-6.204 2.198 -8.434
3.584 -10.053 -0.732
-5.684 1.113 8.995
Ag Sb F
6 8 48
direct
0.875 0.750 0.625
0.625 0.250 0.875
0.250 0.375 0.125
0.750 0.125 0.375
0.125 0.875 0.250
0.375 0.625 0.750
0.500 0.878 0.500
0.622 0.622 0.122
0.878 0.000 0.000
0.000 0.500 0.378
0.122 0.122 0.622
0.500 0.378 0.500
0.378 0.000 0.000
0.000 0.500 0.878
0.329 0.913 0.446
0.533 0.587 0.916
0.967 0.883 0.054
0.171 0.617 0.584
0.916 0.087 0.533
0.446 0.413 0.329
0.584 0.117 0.171
0.054 0.383 0.967
0.883 0.554 0.467
0.617 0.084 0.671
0.913 0.946 0.829
0.587 0.416 0.033
0.383 0.467 0.554
0.117 0.671 0.084
0.413 0.829 0.946
0.087 0.033 0.416
0.416 0.533 0.087
0.946 0.329 0.413
0.084 0.171 0.117
0.554 0.967 0.383
0.829 0.446 0.913
0.033 0.916 0.587
0.467 0.054 0.883
0.671 0.584 0.617
0.676 0.856 0.554
0.698 0.644 0.320
0.802 0.122 0.946
0.824 0.378 0.180
0.320 0.144 0.698
0.554 0.356 0.676
0.180 0.878 0.824
0.946 0.622 0.802
0.122 0.446 0.302
0.378 0.680 0.324
0.856 0.054 0.176
0.644 0.820 0.198
0.622 0.302 0.446
0.878 0.324 0.680
0.356 0.176 0.054
0.144 0.198 0.820
0.820 0.698 0.144
0.054 0.676 0.356
0.680 0.824 0.878
0.446 0.802 0.622
0.176 0.554 0.856
0.198 0.320 0.644
0.302 0.946 0.122
0.324 0.180 0.378
```

Space group: I-43d, No. 220

Density functional theory data (meta-GGA SCAN) for a crystal of Sc2AgF relaxed with PBEsol.

```
Sc2AgF
1.0
3.253 0.000 0.000
1.626 2.817 0.000
1.626 0.939 8.478
Sc Ag F
2 1 1
direct
0.921 0.921 0.236
0.079 0.079 0.764
0.500 0.500 0.500
0.000 0.000 0.000
```

Space group: R-3m, No. 166

Density functional theory data (meta-GGA SCAN) for a crystal of ScAg3F relaxed with PBEsol.

```
ScAg3F
1.0
-2.591 -4.365 -0.578
4.153 -2.645 1.361
-1.462 0.220 4.890
Sc Ag F
1 3 1
direct
0.000 0.000 0.000
0.000 0.500 0.000
0.000 0.000 0.500
0.500 0.000 0.000
0.500 0.500 0.500
```

Space group: Pm-3m, No. 221

Density functional theory data (meta-GGA SCAN) for a crystal of ScAgF2 relaxed with PBEsol.

```
ScAgF2
1.0
-0.642 0.319 3.140
-1.374 -2.423 1.617
6.041 -3.410 3.232
Sc Ag F
1 1 2
direct
0.000 0.000 0.000
0.500 0.500 0.500
0.912 0.912 0.263
0.088 0.088 0.737
```

Space group: R-3m, No. 166

Density functional theory data (meta-GGA SCAN) for a crystal of Ag2SeF relaxed with PBEsol.

```
Ag2SeF
1.0
-3.327 1.342 -2.630
0.538 0.052 -4.416
-2.156 -2.949 -2.539
Se Ag F
1 2 1
direct
0.500 0.500 0.500
0.250 0.250 0.250
0.750 0.750 0.750
0.000 0.000 0.000
```

Space group: Fm-3m, No. 225

Density functional theory data (meta-GGA SCAN) for a crystal of ZrAgSnF2 relaxed with PBEsol.

```
ZrAgSnF2
1.0
4.226 0.000 0.000
0.000 4.226 0.000
0.000 0.000 6.123
Zr Sn Ag F
1 1 1 2
direct
0.000 0.000 0.500
0.000 0.000 0.000
0.500 0.500 0.500
0.000 0.500 0.000
0.500 0.000 0.000
```

Space group: P4/mmm, No. 123

Density functional theory data (meta-GGA SCAN) for a crystal of SrAg3F relaxed with PBEsol.

```
SrAg3F
1.0
-4.047 -2.114 -1.310
1.509 -0.098 -4.504
1.977 -4.253 0.755
Sr Ag F
1 3 1
direct
0.500 0.500 0.500
0.000 0.500 0.000
0.000 0.000 0.500
0.500 0.000 0.000
0.000 0.000 0.000
```

Space group: Pm-3m, No. 221

Density functional theory data (meta-GGA SCAN) for a crystal of Ta2AgF12 relaxed with PBEsol.

```
Ta2AgF12
1.0
-4.816 -1.949 -0.479
-0.321 -5.475 -0.744
0.106 -3.298 8.400
Ta Ag F
2 1 12
direct
0.228 0.515 0.728
0.772 0.485 0.272
0.000 0.000 0.000
0.164 0.263 0.270
0.836 0.737 0.730
0.810 0.734 0.077
0.286 0.739 0.556
0.714 0.261 0.444
0.189 0.276 0.626
0.811 0.724 0.374
0.627 0.300 0.785
0.373 0.700 0.215
0.264 0.733 0.869
0.736 0.267 0.131
0.190 0.266 0.923
```

Space group: P-1, No. 2

Density functional theory data (meta-GGA SCAN) for a crystal of TaTiAg2F relaxed with PBEsol.

```
TaTiAg2F
1.0
-3.680 0.722 0.563
-0.817 -4.562 0.510
0.775 0.373 4.583
F Ti Ag Ta
1 1 2 1
direct
0.000 0.000 0.000
0.500 0.000 0.000
0.000 0.000 0.500
0.000 0.500 0.000
0.500 0.500 0.500
```

Space group: P4/mmm, No. 123

Density functional theory data (meta-GGA SCAN) for a crystal of TcAg2F relaxed with PBEsol.

```
TcAg2F
1.0
-4.351 0.921 0.120
-2.337 -0.780 3.704
-1.487 3.403 2.450
Tc Ag F
1 2 1
direct
0.500 0.500 0.500
0.250 0.250 0.250
0.750 0.750 0.750
0.000 0.000 0.000
```

Space group: Fm-3m, No. 225

Density for every record listed, in sequence, given in g/cm³: 4.55; 5.45; 4.31; 9.87; 4.35; 7.47; 5.72; 5.01; 4.35; 3.63; 4.46; 4.63; 4.83; 4.75; 8.37; 5.40; 6.66; 5.10; 9.34; 8.88.
Formation energy without anion corrections for every record listed, in sequence, given in meV/atom: -2339.3; -2208.8; -3140.5; 718.2; -1676.1; 424.6; 254.9; -2138.8; -2146.8; -2117.6; -2153.9; -1192.7; 867.6; -1790.8; -448.3; -662.5; -234.2; -2934.1; 110.2; 367.7.
E_tot for every record listed, in sequence, given in eV for the cell shown: -154.74; -188.53; -153.33; -101.69; -424.23; -129.68; -53.14; -427.91; -180.57; -106.81; -789.75; -68.15; -107.54; -59.85; -88.15; -108.38; -121.09; -251.02; -148.34; -99.86.